# 1
ZrReCl2: optimized geometry, PBE-GGA.

Calculated values
- Fermi-level density of states (states/eV per atom) = 0.77
- raw formation energy (eV/f.u.) = 2.41
- ΔE to the lowest computed polymorph (kJ per mole of atoms) = 110.7
- final energy (eV per atom) = -5.570
- space-group type = I4/mmm (139)

Cell lengths 5.1875, 5.1875, 5.1875 Å; angles 131.87, 131.87, 70.44 degrees
Last column: nearest neighbours and their distance in Å.
Fractional coordinates of all 4 atoms:
1 Cl 0.5000 0.5000 0.0000  4 Cl 2.99, 4 Re 2.99, 4 Zr 2.99
2 Cl 0.0000 0.0000 0.0000  4 Cl 2.99, 4 Zr 2.99, 4 Re 2.99
3 Re 0.2500 0.7500 0.5000  4 Zr 2.99, 8 Cl 2.99
4 Zr 0.7500 0.2500 0.5000  4 Re 2.99, 8 Cl 2.99

---

# 2
ZrReCl2: optimized geometry, PBE-GGA.

Calculated values
- Fermi-level density of states (states/eV per atom) = 0.80
- raw formation energy (eV/f.u.) = 1.81
- ΔE to the lowest computed polymorph (kJ per mole of atoms) = 96.2
- final energy (eV per atom) = -5.721
- space-group type = I-4m2 (119)

Cell lengths 5.4099, 5.4099, 5.4099 Å; angles 138.24, 138.24, 60.53 degrees
Last column: nearest neighbours and their distance in Å.
Fractional coordinates of all 4 atoms:
1 Re 0.5000 0.5000 0.0000  8 Cl 2.73-3.03, 4 Zr 3.03
2 Cl 0.2500 0.7500 0.5000  4 Zr 2.73, 4 Re 3.03, 4 Cl 3.03
3 Cl 0.0000 0.0000 0.0000  4 Re 2.73, 4 Cl 3.03, 4 Zr 3.03
4 Zr 0.7500 0.2500 0.5000  8 Cl 2.73-3.03, 4 Re 3.03

---

# 3
ZrRe4Cl: optimized geometry, PBE-GGA.

Calculated values
- Fermi-level density of states (states/eV per atom) = 0.94
- raw formation energy (eV/f.u.) = 3.74
- final energy (eV per atom) = -9.407
- space-group type = F-43m (216)

Cell lengths 5.3055, 5.3055, 5.3055 Å; angles 60.00, 60.00, 60.00 degrees
Last column: nearest neighbours and their distance in Å.
Fractional coordinates of all 6 atoms:
1 Re 0.8762 0.3746 0.3746  6 Re 2.64-2.66
2 Re 0.3746 0.3746 0.3746  6 Re 2.64-2.66
3 Re 0.3746 0.3746 0.8762  6 Re 2.64-2.66
4 Re 0.3746 0.8762 0.3746  6 Re 2.64-2.66
5 Cl 0.0000 0.0000 0.0000  12 Re 3.11, 4 Zr 3.25
6 Zr 0.7500 0.7500 0.7500  12 Re 3.11, 4 Cl 3.25

---

# 4
Rh2Cl: optimized geometry, PBE-GGA.

Calculated values
- Fermi-level density of states (states/eV per atom) = 1.92
- raw formation energy (eV/f.u.) = 1.53
- ΔE to the lowest computed polymorph (kJ per mole of atoms) = 27.9
- final energy (eV per atom) = -5.006
- space-group type = P-62m (189)

Cell lengths 7.5060, 7.5060, 2.8659 Å; angles 90.00, 90.00, 120.00 degrees
Last column: nearest neighbours and their distance in Å.
Fractional coordinates of all 9 atoms:
1 Rh 0.0000 0.3820 0.0000  2 Cl 2.34
2 Rh 0.2935 0.2935 0.5000  1 Cl 2.20
3 Rh 0.6180 0.6180 0.0000  2 Cl 2.34
4 Rh 0.0000 0.7065 0.5000  1 Cl 2.20
5 Rh 0.7065 0.0000 0.5000  1 Cl 2.20
6 Rh 0.3820 0.0000 0.0000  2 Cl 2.34
7 Cl 0.0000 0.0000 0.5000  3 Rh 2.20
8 Cl 0.6667 0.3333 0.0000  3 Rh 2.34
9 Cl 0.3333 0.6667 0.0000  3 Rh 2.34